Record 1
# TaAlNiOs (PBE, optimized geometry)
# DFT formation energy   -1.76 eV per formula unit
data_TaAlNiOs
_chemical_formula_sum 'Ta4 Al4 Ni4 Os4'
_symmetry_space_group_name_H-M 'F -4 3 m'
_symmetry_Int_Tables_number 216
_symmetry_space_group_name_Hall 'F -4 2 3'
_cell_length_a 6.1435
_cell_length_b 6.1435
_cell_length_c 6.1435
_cell_angle_alpha 90.00
_cell_angle_beta 90.00
_cell_angle_gamma 90.00
loop_
_atom_site_label
_atom_site_fract_x
_atom_site_fract_y
_atom_site_fract_z
Ta1 0.0000 0.0000 0.0000
Al1 0.0000 0.0000 0.5000
Ni1 0.2500 0.2500 0.7500
Os1 0.2500 0.2500 0.2500



Record 2
# LaMo4Br (PBE, optimized geometry)
# Formation energy from raw total energies   0.71 eV per atom
data_LaMo4Br
_chemical_formula_sum 'La4 Mo16 Br4'
_symmetry_space_group_name_H-M 'F -4 3 m'
_symmetry_Int_Tables_number 216
_symmetry_space_group_name_Hall 'F -4 2 3'
_cell_length_a 7.8159
_cell_length_b 7.8159
_cell_length_c 7.8159
_cell_angle_alpha 90.00
_cell_angle_beta 90.00
_cell_angle_gamma 90.00
loop_
_atom_site_label
_atom_site_fract_x
_atom_site_fract_y
_atom_site_fract_z
La1 0.0000 0.0000 0.0000
Mo1 0.1257 0.1257 0.6257
Br1 0.2500 0.2500 0.2500



Record 3
# Sn2SbAs (PBE, optimized geometry)
# Formation energy from raw total energies   0.03 eV per atom
# Energy relative to the lowest polymorph listed for this composition   0.0 meV per atom
data_Sn2SbAs
_chemical_formula_sum 'Sn6 Sb3 As3'
_symmetry_space_group_name_H-M 'R 3 m'
_symmetry_Int_Tables_number 160
_symmetry_space_group_name_Hall 'R 3 -2"'
_cell_length_a 4.0921
_cell_length_b 4.0921
_cell_length_c 22.4728
_cell_angle_alpha 90.00
_cell_angle_beta 90.00
_cell_angle_gamma 120.00
loop_
_atom_site_label
_atom_site_fract_x
_atom_site_fract_y
_atom_site_fract_z
Sn1 0.0000 0.0000 0.0000
Sn2 0.0000 0.0000 0.1814
Sb1 0.0000 0.0000 0.4224
As1 0.0000 0.0000 0.5927



Record 4
# NaAcEuAl (PBE, optimized geometry)
# DFT formation energy   -0.09 eV per formula unit
data_NaAcEuAl
_chemical_formula_sum 'Na4 Ac4 Eu4 Al4'
_symmetry_space_group_name_H-M 'F -4 3 m'
_symmetry_Int_Tables_number 216
_symmetry_space_group_name_Hall 'F -4 2 3'
_cell_length_a 8.0563
_cell_length_b 8.0563
_cell_length_c 8.0563
_cell_angle_alpha 90.00
_cell_angle_beta 90.00
_cell_angle_gamma 90.00
loop_
_atom_site_label
_atom_site_fract_x
_atom_site_fract_y
_atom_site_fract_z
Na1 0.0000 0.0000 0.0000
Ac1 0.2500 0.2500 0.2500
Eu1 0.2500 0.2500 0.7500
Al1 0.0000 0.0000 0.5000



Record 5
# PaGaSnPd (PBE, optimized geometry)
# DFT formation energy   -1.45 eV per formula unit
data_PaGaSnPd
_chemical_formula_sum 'Pa4 Ga4 Sn4 Pd4'
_symmetry_space_group_name_H-M 'F -4 3 m'
_symmetry_Int_Tables_number 216
_symmetry_space_group_name_Hall 'F -4 2 3'
_cell_length_a 6.9226
_cell_length_b 6.9226
_cell_length_c 6.9226
_cell_angle_alpha 90.00
_cell_angle_beta 90.00
_cell_angle_gamma 90.00
loop_
_atom_site_label
_atom_site_fract_x
_atom_site_fract_y
_atom_site_fract_z
Pa1 0.0000 0.0000 0.0000
Ga1 0.2500 0.2500 0.7500
Sn1 0.0000 0.0000 0.5000
Pd1 0.2500 0.2500 0.2500



Record 6
# Nb2InO6 (PBE, optimized geometry)
# Formation energy from raw total energies   -2.21 eV per atom
data_Nb2InO6
_chemical_formula_sum 'Nb4 In2 O12'
_symmetry_space_group_name_H-M 'C 1 2/m 1'
_symmetry_Int_Tables_number 12
_symmetry_space_group_name_Hall '-C 2y'
_cell_length_a 10.1879
_cell_length_b 3.8625
_cell_length_c 7.2989
_cell_angle_alpha 90.00
_cell_angle_beta 116.24
_cell_angle_gamma 90.00
loop_
_atom_site_label
_atom_site_fract_x
_atom_site_fract_y
_atom_site_fract_z
Nb1 0.1792 0.0000 0.1275
In1 0.0000 0.0000 0.5000
O1 0.0192 0.0000 0.1914
O2 0.1580 0.5000 0.6163
O3 0.2026 0.5000 0.0708



Record 7
# SrRe2Ni (PBE, optimized geometry)
# DFT formation energy   2.97 eV per formula unit
# Energy relative to the lowest polymorph listed for this composition   340.3 meV per atom
data_SrRe2Ni
_chemical_formula_sum 'Sr1 Re2 Ni1'
_symmetry_space_group_name_H-M 'P 4/m m m'
_symmetry_Int_Tables_number 123
_symmetry_space_group_name_Hall '-P 4 2'
_cell_length_a 3.2013
_cell_length_b 3.2013
_cell_length_c 7.3575
_cell_angle_alpha 90.00
_cell_angle_beta 90.00
_cell_angle_gamma 90.00
loop_
_atom_site_label
_atom_site_fract_x
_atom_site_fract_y
_atom_site_fract_z
Sr1 0.0000 0.0000 0.0000
Re1 0.5000 0.5000 0.3393
Ni1 0.0000 0.0000 0.5000



Record 8
# TlMoRh2 (PBE, optimized geometry)
# DFT formation energy   0.31 eV per formula unit
# Energy relative to the lowest polymorph listed for this composition   82.4 meV per atom
data_TlMoRh2
_chemical_formula_sum 'Tl1 Mo1 Rh2'
_symmetry_space_group_name_H-M 'P 1 2/m 1'
_symmetry_Int_Tables_number 10
_symmetry_space_group_name_Hall '-P 2y'
_cell_length_a 2.9072
_cell_length_b 3.8092
_cell_length_c 5.9721
_cell_angle_alpha 90.00
_cell_angle_beta 90.25
_cell_angle_gamma 90.00
loop_
_atom_site_label
_atom_site_fract_x
_atom_site_fract_y
_atom_site_fract_z
Tl1 0.0000 0.0000 0.0000
Mo1 0.0000 0.0000 0.5000
Rh1 0.4999 0.5000 0.2763



Record 9
# PmTlCd4 (PBE, optimized geometry)
# DFT formation energy   -0.73 eV per formula unit
# Energy relative to the lowest polymorph listed for this composition   82.4 meV per atom
data_PmTlCd4
_chemical_formula_sum 'Pm4 Tl4 Cd16'
_symmetry_space_group_name_H-M 'F -4 3 m'
_symmetry_Int_Tables_number 216
_symmetry_space_group_name_Hall 'F -4 2 3'
_cell_length_a 8.5009
_cell_length_b 8.5009
_cell_length_c 8.5009
_cell_angle_alpha 90.00
_cell_angle_beta 90.00
_cell_angle_gamma 90.00
loop_
_atom_site_label
_atom_site_fract_x
_atom_site_fract_y
_atom_site_fract_z
Pm1 0.0000 0.0000 0.0000
Tl1 0.2500 0.2500 0.2500
Cd1 0.1255 0.1255 0.6255



Record 10
# In3Ga2Ag (PBE, optimized geometry)
# DFT formation energy   0.32 eV per formula unit
data_In3Ga2Ag
_chemical_formula_sum 'In12 Ga8 Ag4'
_symmetry_space_group_name_H-M 'P 1 21/c 1'
_symmetry_Int_Tables_number 14
_symmetry_space_group_name_Hall '-P 2ybc'
_cell_length_a 6.9385
_cell_length_b 9.3518
_cell_length_c 9.5149
_cell_angle_alpha 90.00
_cell_angle_beta 112.80
_cell_angle_gamma 90.00
loop_
_atom_site_label
_atom_site_fract_x
_atom_site_fract_y
_atom_site_fract_z
In1 0.2441 0.0874 0.4320
In2 0.2533 0.0014 0.0743
In3 0.2543 0.5871 0.2344
Ga1 0.0038 0.6546 0.7218
Ga2 0.3686 0.2194 0.7308
Ag1 0.3396 0.7177 0.9859



Record 11
# YErCuRh (PBE, optimized geometry)
# DFT formation energy   -2.29 eV per formula unit
# Energy relative to the lowest polymorph listed for this composition   19.2 meV per atom
data_YErCuRh
_chemical_formula_sum 'Y4 Er4 Cu4 Rh4'
_symmetry_space_group_name_H-M 'F -4 3 m'
_symmetry_Int_Tables_number 216
_symmetry_space_group_name_Hall 'F -4 2 3'
_cell_length_a 6.8865
_cell_length_b 6.8865
_cell_length_c 6.8865
_cell_angle_alpha 90.00
_cell_angle_beta 90.00
_cell_angle_gamma 90.00
loop_
_atom_site_label
_atom_site_fract_x
_atom_site_fract_y
_atom_site_fract_z
Y1 0.0000 0.0000 0.0000
Er1 0.0000 0.0000 0.5000
Cu1 0.2500 0.2500 0.7500
Rh1 0.2500 0.2500 0.2500



Record 12
# VHBrCl6 (PBE, optimized geometry)
# Final energy   -31.7 eV/f.u.
data_VHBrCl6
_chemical_formula_sum 'V1 H1 Br1 Cl6'
_symmetry_space_group_name_H-M 'P 1'
_symmetry_Int_Tables_number 1
_symmetry_space_group_name_Hall 'P 1'
_cell_length_a 6.3935
_cell_length_b 7.4468
_cell_length_c 7.8664
_cell_angle_alpha 116.51
_cell_angle_beta 97.01
_cell_angle_gamma 108.68
loop_
_atom_site_label
_atom_site_fract_x
_atom_site_fract_y
_atom_site_fract_z
V1 0.0000 0.0000 0.0000
H1 0.3013 0.5543 0.7291
Br1 0.0343 0.7726 0.4021
Cl1 0.0550 0.7508 0.7154
Cl2 0.0636 0.7560 0.0817
Cl3 0.3217 0.2810 0.1396
Cl4 0.4330 0.4542 0.7303
Cl5 0.7836 0.0485 0.8021
Cl6 0.8104 0.0697 0.2165